Ac2SmMg5: relaxed, PBE-GGA. Values from VASP.

```
&SYSTEM
  ibrav = 0, nat = 8, ntyp = 3
/
ATOMIC_SPECIES
Mg 24.30 Mg.upf
Sm 150.36 Sm.upf
Ac 227.00 Ac.upf
CELL_PARAMETERS angstrom
-0.744 3.089 -4.412
-5.380 -0.637 0.461
2.679 5.416 6.691
ATOMIC_POSITIONS angstrom
Mg -3.062 1.226 -1.976
Mg -0.454 2.971 -1.194
Mg -0.673 6.760 1.496
Mg -2.991 4.897 3.932
Mg -2.773 1.108 1.243
Sm 0.000 0.000 0.000
Ac -3.246 4.416 0.288
Ac -0.199 3.452 2.450
```

**Energy**: -0.19642 Ry/atom
**Crystal system**: tetragonal
**Volume**: 30.1 Å³ per atom
**Space group**: I4/mmm, No. 139

=====

AcSmMg2: relaxed, PBE-GGA. Values from VASP.

```
&SYSTEM
  ibrav = 0, nat = 4, ntyp = 3
/
ATOMIC_SPECIES
Mg 24.30 Mg.upf
Sm 150.36 Sm.upf
Ac 227.00 Ac.upf
CELL_PARAMETERS angstrom
3.710 0.000 0.000
1.855 3.213 0.000
1.855 1.071 11.096
ATOMIC_POSITIONS angstrom
Mg 5.566 3.213 8.191
Mg 1.855 1.071 2.904
Sm 3.710 2.142 5.548
Ac 0.000 0.000 0.000
```

**Energy**: -0.21465 Ry/atom
**Crystal system**: trigonal
**Volume**: 33.1 Å³ per atom
**Space group**: R-3m, No. 166

=====

Ac3Sm12Mg: relaxed, PBE-GGA. Values from VASP.

```
&SYSTEM
  ibrav = 0, nat = 16, ntyp = 3
/
ATOMIC_SPECIES
Sm 150.36 Sm.upf
Ac 227.00 Ac.upf
Mg 24.30 Mg.upf
CELL_PARAMETERS angstrom
5.201 0.000 0.000
0.000 5.201 0.000
0.000 0.000 20.695
ATOMIC_POSITIONS angstrom
Sm 0.000 2.601 12.989
Sm 2.601 0.000 7.706
Sm 0.000 2.601 18.264
Sm 2.601 2.601 4.998
Sm 2.601 0.000 18.264
Sm 0.000 2.601 7.706
Sm 2.601 2.601 0.000
Sm 0.000 2.601 2.431
Sm 2.601 0.000 12.989
Sm 2.601 2.601 15.698
Sm 2.601 0.000 2.431
Sm 2.601 2.601 10.348
Ac 0.000 0.000 10.348
Ac 0.000 0.000 5.066
Ac 0.000 0.000 15.630
Mg 0.000 0.000 0.000
```

**Energy**: -0.32133 Ry/atom
**Crystal system**: tetragonal
**Volume**: 35.0 Å³ per atom
**Space group**: P4/mmm, No. 123

=====

AcSmMg17: relaxed, PBE-GGA. Values from VASP.

```
&SYSTEM
  ibrav = 0, nat = 19, ntyp = 3
/
ATOMIC_SPECIES
Mg 24.30 Mg.upf
Ac 227.00 Ac.upf
Sm 150.36 Sm.upf
CELL_PARAMETERS angstrom
7.800 0.053 0.980
0.871 7.752 0.980
0.059 0.053 7.861
ATOMIC_POSITIONS angstrom
Mg 5.601 5.042 2.581
Mg 0.649 5.436 3.027
Mg 3.068 2.762 7.366
Mg 4.852 7.804 9.302
Mg 8.670 7.804 5.909
Mg 5.214 1.368 5.865
Mg 5.713 2.344 0.999
Mg 8.269 4.007 9.302
Mg 7.893 7.105 8.879
Mg 1.907 5.042 5.865
Mg 6.956 2.762 3.910
Mg 0.880 0.792 0.989
Mg 2.930 5.436 0.999
Mg 2.365 0.075 5.791
Mg 3.476 6.628 3.910
Mg 0.323 2.344 5.791
Mg 5.474 0.075 3.027
Ac 5.816 5.235 6.543
Sm 2.880 2.592 3.239
```

**Energy**: -0.14355 Ry/atom
**Crystal system**: trigonal
**Volume**: 25.0 Å³ per atom
**Space group**: R3m, No. 160

=====

AcSm5Mg6: relaxed, PBE-GGA. Values from VASP.

```
&SYSTEM
  ibrav = 0, nat = 12, ntyp = 3
/
ATOMIC_SPECIES
Mg 24.30 Mg.upf
Sm 150.36 Sm.upf
Ac 227.00 Ac.upf
CELL_PARAMETERS angstrom
-3.394 3.513 2.542
-3.321 1.734 -6.827
-7.165 -4.334 2.384
ATOMIC_POSITIONS angstrom
Mg -7.729 2.722 -2.147
Mg -2.564 2.209 -0.511
Mg -6.151 -1.810 0.246
Mg -6.117 1.880 1.166
Mg -11.316 -1.297 -1.391
Mg -7.763 -0.968 -3.067
Sm -5.161 0.617 -1.775
Sm -10.350 1.195 -3.546
Sm -3.530 -0.283 1.645
Sm -8.720 0.295 -0.126
Sm -1.660 0.867 -3.414
Ac 0.000 0.000 0.000
```

**Energy**: -0.23488 Ry/atom
**Crystal system**: orthorhombic
**Volume**: 29.5 Å³ per atom
**Space group**: Cmmm, No. 65

=====

AcSm2Mg: relaxed, PBE-GGA. Values from VASP.

```
&SYSTEM
  ibrav = 0, nat = 4, ntyp = 3
/
ATOMIC_SPECIES
Sm 150.36 Sm.upf
Ac 227.00 Ac.upf
Mg 24.30 Mg.upf
CELL_PARAMETERS angstrom
3.593 0.000 0.000
1.797 3.112 0.000
1.797 1.037 12.530
ATOMIC_POSITIONS angstrom
Sm 5.390 3.112 3.609
Sm 1.797 1.037 8.922
Ac 0.000 0.000 0.000
Mg 3.593 2.075 6.265
```

**Energy**: -0.26225 Ry/atom
**Crystal system**: trigonal
**Volume**: 35.0 Å³ per atom
**Space group**: R-3m, No. 166

=====

Ac2SmMg: relaxed, PBE-GGA. Values from VASP.

```
&SYSTEM
  ibrav = 0, nat = 4, ntyp = 3
/
ATOMIC_SPECIES
Ac 227.00 Ac.upf
Mg 24.30 Mg.upf
Sm 150.36 Sm.upf
CELL_PARAMETERS angstrom
3.846 0.000 0.000
1.923 3.330 0.000
1.923 1.110 11.876
ATOMIC_POSITIONS angstrom
Ac 1.923 1.110 9.010
Ac 1.923 1.110 2.862
Mg 5.768 3.330 11.867
Sm 3.846 2.220 5.951
```

**Energy**: -0.26142 Ry/atom
**Crystal system**: trigonal
**Volume**: 38.0 Å³ per atom
**Space group**: R3m, No. 160

=====

AcSmMg2: relaxed, PBE-GGA. Values from VASP.

```
&SYSTEM
  ibrav = 0, nat = 4, ntyp = 3
/
ATOMIC_SPECIES
Ac 227.00 Ac.upf
Mg 24.30 Mg.upf
Sm 150.36 Sm.upf
CELL_PARAMETERS angstrom
-1.081 -3.814 -0.295
3.335 -0.790 -2.014
3.778 -1.604 6.884
ATOMIC_POSITIONS angstrom
Ac 3.016 -3.104 2.287
Mg 2.937 -1.247 5.351
Mg 0.841 -0.357 1.533
Sm 1.127 -2.302 -1.155
```

**Energy**: -0.22684 Ry/atom
**Crystal system**: tetragonal
**Volume**: 31.7 Å³ per atom
**Space group**: P4/mmm, No. 123

=====

Question: Among the records above, which one has the lowest volume?
Answer: AcSmMg17